[1]
## PrErMgPd (PBE)

Data for a geometry-optimized PrErMgPd structure.

E_form, eV per atom: -0.353
VASP energy, eV/cell: -17.54
SG: No. 216

Unit cell a=5.217 b=5.217 c=5.217 alpha=60.00 beta=60.00 gamma=60.00
Positions (direct):
1 Pr 0.000 0.000 0.000
2 Mg 0.750 0.750 0.750
3 Pd 0.250 0.250 0.250
4 Er 0.500 0.500 0.500



[2]
## Pa2PbAuO8 (PBE)

Data for a geometry-optimized Pa2PbAuO8 structure.

VASP energy, eV/cell: -88.44
SG: No. 147
Formation energy (no corrections), eV/atom: -1.90

Unit cell a=5.826 b=5.826 c=6.474 alpha=90.00 beta=90.00 gamma=120.00
Site moments in Bohr magnetons follow the coordinates.
Positions (direct):
1 Pa 0.667 0.333 0.121  0.03
2 Pa 0.333 0.667 0.879  0.03
3 Pb 0.000 0.000 0.500  0.00
4 Au 0.000 0.000 0.000  0.36
5 O 0.931 0.649 0.847  0.09
6 O 0.351 0.282 0.847  0.09
7 O 0.718 0.069 0.847  0.09
8 O 0.069 0.351 0.153  0.09
9 O 0.649 0.718 0.153  0.09
10 O 0.282 0.931 0.153  0.09
11 O 0.667 0.333 0.416  0.00
12 O 0.333 0.667 0.584  0.00



[3]
## Yb2TiCuO6 (PBE)

Data for a geometry-optimized Yb2TiCuO6 structure.

VASP energy, eV/cell: -68.46
SG: No. 187
Formation energy (no corrections), eV/atom: -2.37

Unit cell a=3.564 b=3.564 c=11.588 alpha=90.00 beta=90.00 gamma=120.00
Site moments in Bohr magnetons follow the coordinates.
Positions (direct):
1 Yb 0.667 0.333 0.733  0.49
2 Yb 0.667 0.333 0.267  0.49
3 Ti 0.000 0.000 0.000  -0.01
4 Cu 0.333 0.667 0.500  -0.06
5 O 0.000 0.000 0.839  0.02
6 O 0.333 0.667 0.341  0.04
7 O 0.667 0.333 0.000  0.00
8 O 0.667 0.333 0.500  -0.03
9 O 0.333 0.667 0.659  0.04
10 O 0.000 0.000 0.161  0.02



[4]
## KRbLa2Y (PBE)

Data for a geometry-optimized KRbLa2Y structure.

E_form, eV per atom: 0.710
VASP energy, eV/cell: -14.83
SG: No. 123

Unit cell a=6.125 b=7.226 c=6.125 alpha=90.00 beta=90.00 gamma=90.00
Site moments in Bohr magnetons follow the coordinates.
Positions (direct):
1 Y 0.000 0.000 0.000  0.13
2 K 0.500 0.500 0.500  0.00
3 Rb 0.000 0.500 0.000  0.00
4 La 0.000 0.000 0.500  0.04
5 La 0.500 0.000 0.000  0.03